1.
The following is a PBE-GGA calculation of a relaxed structure of Tb2ZrHg, from Alexandria.

Calculated values
ΔE_f in meV/atom: -192
Energy relative to the lowest polymorph listed for this composition in meV per atom: 0.0

a = 3.477 Å, b = 3.477 Å, c = 8.808 Å
α = 90.00°, β = 90.00°, γ = 90.00°
Atoms (fractional coordinates):
1 Tb 0.000 0.000 0.759
2 Tb 0.000 0.000 0.241
3 Hg 0.500 0.500 0.000
4 Zr 0.500 0.500 0.500


2.
The following is a PBE-GGA calculation of a relaxed structure of Pm4ZnHg3, from Alexandria.

Calculated values
ΔE_f in meV/atom: -385
Energy relative to the lowest polymorph listed for this composition in meV per atom: 50.7

a = 3.762 Å, b = 4.868 Å, c = 12.007 Å
α = 90.00°, β = 90.00°, γ = 90.00°
Atoms (fractional coordinates):
1 Pm 0.500 0.500 0.343
2 Pm 0.000 0.500 0.854
3 Pm 0.000 0.000 0.148
4 Pm 0.500 0.000 0.651
5 Zn 0.500 0.500 0.076
6 Hg 0.000 0.500 0.580
7 Hg 0.000 0.000 0.420
8 Hg 0.500 0.000 0.927


3.
The following is a PBE-GGA calculation of a relaxed structure of Nb2TcAgMo, from Alexandria.

Calculated values
ΔE_f in meV/atom: 1352

a = 4.811 Å, b = 4.811 Å, c = 4.682 Å
α = 90.00°, β = 90.00°, γ = 90.00°
Atoms (fractional coordinates):
1 Mo 0.000 0.000 0.000
2 Nb 0.000 0.500 0.000
3 Nb 0.500 0.000 0.000
4 Tc 0.000 0.000 0.500
5 Ag 0.500 0.500 0.500


4.
The following is a PBE-GGA calculation of a relaxed structure of Rb2TcI6N, from Alexandria.

Calculated values
Formation energy without anion corrections in eV per atom: -0.153

a = 8.811 Å, b = 8.811 Å, c = 8.117 Å
α = 57.13°, β = 57.13°, γ = 90.00°
Site moments in Bohr magnetons follow the coordinates.
Atoms (fractional coordinates):
1 I 0.276 0.276 0.448  -0.07
2 I 0.724 0.724 0.552  -0.07
3 I 0.220 0.220 0.000  0.01
4 I 0.780 0.780 0.000  0.01
5 I 0.780 0.220 0.000  0.01
6 I 0.220 0.780 0.000  0.01
7 Tc 0.000 0.000 0.000  2.34
8 Rb 0.750 0.250 0.500  0.00
9 Rb 0.250 0.750 0.500  0.00
10 N 0.500 0.500 0.000  -1.13


5.
The following is a PBE-GGA calculation of a relaxed structure of In2TeCl, from Alexandria.

Calculated values
Energy relative to the lowest polymorph listed for this composition in meV per atom: 223.5
Formation energy without anion corrections in eV per atom: -0.322

a = 3.555 Å, b = 3.555 Å, c = 10.304 Å
α = 90.00°, β = 90.00°, γ = 89.94°
Atoms (fractional coordinates):
1 Cl 0.500 0.500 0.821
2 Te 0.000 0.000 0.459
3 In 0.000 0.000 0.966
4 In 0.500 0.500 0.254


6.
The following is a PBE-GGA calculation of a relaxed structure of Cs3Pr2PtO6, from Alexandria.

Calculated values
Formation energy without anion corrections in eV per atom: -1.826

a = 6.302 Å, b = 6.302 Å, c = 7.666 Å
α = 104.86°, β = 104.86°, γ = 111.48°
Site moments in Bohr magnetons follow the coordinates.
Atoms (fractional coordinates):
1 Cs 0.165 0.835 0.500  0.00
2 Cs 0.835 0.165 0.500  0.00
3 Cs 0.500 0.500 0.500  0.01
4 Pr 0.336 0.664 0.000  0.01
5 Pr 0.664 0.336 0.000  0.01
6 Pt 0.000 0.000 0.000  0.52
7 O 0.926 0.638 0.874  0.10
8 O 0.664 0.664 0.226  0.02
9 O 0.074 0.362 0.126  0.10
10 O 0.638 0.926 0.874  0.10
11 O 0.336 0.336 0.774  0.02
12 O 0.362 0.074 0.126  0.10


7.
The following is a PBE-GGA calculation of a relaxed structure of Dy8GaHg2, from Alexandria.

Calculated values
ΔE_f in meV/atom: -186
Energy relative to the lowest polymorph listed for this composition in meV per atom: 75.9

a = 5.019 Å, b = 8.401 Å, c = 8.749 Å
α = 118.69°, β = 106.67°, γ = 90.00°
Atoms (fractional coordinates):
1 Hg 0.199 0.699 0.398
2 Hg 0.801 0.301 0.602
3 Ga 0.500 0.000 0.000
4 Dy 0.658 0.883 0.317
5 Dy 0.342 0.566 0.683
6 Dy 0.131 0.131 0.262
7 Dy 0.000 0.316 0.000
8 Dy 0.869 0.869 0.738
9 Dy 0.658 0.434 0.317
10 Dy 0.342 0.117 0.683
11 Dy 0.000 0.684 0.000


8.
The following is a PBE-GGA calculation of a relaxed structure of UTlAu, from Alexandria.

Calculated values
ΔE_f in meV/atom: 13

a = 3.461 Å, b = 5.346 Å, c = 8.485 Å
α = 104.21°, β = 90.00°, γ = 108.89°
Site moments in Bohr magnetons follow the coordinates.
Atoms (fractional coordinates):
1 Tl 0.342 0.684 0.393  0.00
2 Tl 0.658 0.316 0.607  0.00
3 Au 0.585 0.170 0.229  0.01
4 Au 0.415 0.830 0.771  0.01
5 U 0.844 0.689 0.051  1.65
6 U 0.156 0.311 0.949  1.65


| no. | size of the total moment (μB per cell) |
| --- | --- |
| 1 | 0.00 |
| 2 | 0.00 |
| 3 | 0.00 |
| 4 | 0.94 |
| 5 | 0.00 |
| 6 | 1.08 |
| 7 | 0.00 |
| 8 | 3.41 |